Record 1
Density functional theory data (PBEsol) for crystalline CuIr3Pb at its relaxed geometry.

Lattice parameters (Å, degrees): 4.4854 4.4854 4.4854 90.00 90.00 90.00
With the nearest neighbours (Å) after each atom.
Atoms (fractional coordinates):
1 Ir 0.5000 0.0000 0.0000  2 Cu 2.24
2 Ir 0.0000 0.0000 0.5000  2 Cu 2.24
3 Pb 0.5000 0.5000 0.5000  12 Ir 3.17
4 Cu 0.0000 0.0000 0.0000  6 Ir 2.24
5 Ir 0.0000 0.5000 0.0000  2 Cu 2.24



Record 2
Density functional theory data (PBEsol) for crystalline CuIrPb2 at its relaxed geometry.

Lattice parameters (Å, degrees): 4.7545 4.7617 4.7617 60.02 60.05 60.05
With the nearest neighbours (Å) after each atom.
Atoms (fractional coordinates):
1 Pb 0.7500 0.2500 0.2500  4 Cu 2.91-2.92, 4 Ir 2.91-2.92
2 Pb 0.2500 0.7500 0.7500  4 Cu 2.91-2.92, 4 Ir 2.91-2.92
3 Cu 0.5000 0.0000 0.0000  8 Pb 2.91-2.92
4 Ir 0.0000 0.5000 0.5000  8 Pb 2.91-2.92



The energy relative to the elements results, record by record, are as follows: 1.410; 0.452 eV per atom.